Here is a geometry-optimized KBe2P structure from Alexandria via LeMat-Bulk. Energies are from PBE-GGA.

Results
final energy	-3.16	eV per atom
formation energy from the elements	0.333	eV/atom

Cell: 2.7293 7.0482 3.4424 Å, 90.00 90.30 90.00°
Closest atoms and distances in Å follow each position.
Fractional positions:
K 0.0000 0.0000 0.0000  2 K 2.73
Be 0.0000 0.5079 0.0000  4 Be 2.42-2.43, 4 P 2.44-2.45
Be 0.5000 0.3634 0.5000  1 P 2.09
P 0.5000 0.6603 0.5000  1 Be 2.09